Entry 1:
Computed, not measured: an optimized crystal structure of K2ScIr at the PBEsol level of DFT.

a = 4.551 Å, b = 4.551 Å, c = 5.368 Å
α = 90.00°, β = 90.00°, γ = 90.00°
Fractional coordinates of all 4 atoms:
Ir  0.500  0.500  0.500
K  0.000  0.000  0.261
K  0.000  0.000  0.739
Sc  0.500  0.500  0.000

Calculated values
- DOS(E_F): 0.641 states/eV per atom
- E above lowest polymorph: 608.5 meV/atom
- Formation energy from the elements: 0.934 eV per atom
- Space-group type: P4/mmm
- Total moment: 0.00 μB per atom

***

Entry 2:
Computed, not measured: an optimized crystal structure of Sr2CuP at the PBEsol level of DFT.

a = 4.511 Å, b = 4.511 Å, c = 7.189 Å
α = 108.30°, β = 90.00°, γ = 120.00°
Fractional coordinates of all 4 atoms:
Sr  0.241  0.481  0.222
Cu  0.000  0.000  0.500
P  0.500  0.000  0.000
Sr  0.759  0.519  0.778

Calculated values
- Formation energy from the elements: -0.423 eV per atom
- Space-group type: R-3m
- Total moment: 0.00 μB per atom

***

Entry 3:
Computed, not measured: an optimized crystal structure of TlHgSeN2 at the PBEsol level of DFT.

a = 4.241 Å, b = 4.241 Å, c = 5.923 Å
α = 90.00°, β = 90.00°, γ = 90.00°
Last column: magnetic moment on the atom in μB.
Fractional coordinates of all 5 atoms:
N  0.500  0.000  0.000  1.02
Hg  0.500  0.500  0.500  0.01
Se  0.000  0.000  0.500  0.16
N  0.000  0.500  0.000  1.02
Tl  0.000  0.000  0.000  0.01

Calculated values
- DOS(E_F): 0.368 states/eV per atom
- Formation energy without anion corrections: 1.659 eV/atom
- Space-group type: P4/mmm
- Total moment: 0.64 μB per atom

***

Entry 4:
Computed, not measured: an optimized crystal structure of CsKRb2 at the PBEsol level of DFT.

a = 7.861 Å, b = 7.861 Å, c = 7.861 Å
α = 60.00°, β = 60.00°, γ = 60.00°
Fractional coordinates of all 4 atoms:
Cs  0.500  0.500  0.500
Rb  0.250  0.250  0.250
K  0.000  0.000  0.000
Rb  0.750  0.750  0.750

Calculated values
- DOS(E_F): 0.908 states/eV per atom
- Formation energy from the elements: 0.002 eV per atom
- Space-group type: Fm-3m
- Total moment: 0.00 μB per atom

***

Entry 5:
Computed, not measured: an optimized crystal structure of Zr2SiPb at the PBEsol level of DFT.

a = 4.115 Å, b = 4.110 Å, c = 5.593 Å
α = 111.56°, β = 111.59°, γ = 90.00°
Fractional coordinates of all 4 atoms:
Zr  0.000  0.000  0.001
Zr  0.750  0.250  0.500
Pb  0.500  0.500  0.000
Si  0.250  0.750  0.500

Calculated values
- DOS(E_F): 0.500 states/eV per atom
- Formation energy without anion corrections: -0.315 eV/atom
- E above lowest polymorph: 123.6 meV/atom
- Space-group type: I-4m2
- Total moment: 0.00 μB per atom

***

Entry 6:
Computed, not measured: an optimized crystal structure of TcTePbI2 at the PBEsol level of DFT.

a = 5.862 Å, b = 5.931 Å, c = 5.931 Å
α = 90.00°, β = 90.00°, γ = 90.00°
Last column: magnetic moment on the atom in μB.
Fractional coordinates of all 5 atoms:
Pb  0.000  0.000  0.000  0.00
Tc  0.500  0.500  0.500  4.28
I  0.000  0.000  0.500  0.04
Te  0.500  0.000  0.000  0.03
I  0.000  0.500  0.000  0.04

Calculated values
- DOS(E_F): 0.611 states/eV per atom
- Formation energy without anion corrections: 1.177 eV/atom
- Space-group type: P4/mmm
- Total moment: 1.03 μB per atom

***

Entry 7:
Computed, not measured: an optimized crystal structure of ZrTlCl2 at the PBEsol level of DFT.

a = 3.392 Å, b = 3.392 Å, c = 9.227 Å
α = 79.41°, β = 79.41°, γ = 60.00°
Fractional coordinates of all 4 atoms:
Cl  0.761  0.761  0.717
Tl  0.500  0.500  0.499
Cl  0.984  0.984  0.048
Zr  0.255  0.255  0.235

Calculated values
- DOS(E_F): 0.766 states/eV per atom
- Formation energy without anion corrections: -0.827 eV/atom
- E above lowest polymorph: 140.8 meV/atom
- Space-group type: R3m
- Total moment: 0.00 μB per atom

***

Entry 8:
Computed, not measured: an optimized crystal structure of ZnSbPI2 at the PBEsol level of DFT.

a = 5.172 Å, b = 5.464 Å, c = 5.464 Å
α = 90.00°, β = 90.00°, γ = 90.00°
Fractional coordinates of all 5 atoms:
Zn  0.500  0.500  0.500
I  0.000  0.000  0.500
I  0.000  0.500  0.000
P  0.000  0.000  0.000
Sb  0.500  0.000  0.000

Calculated values
- DOS(E_F): 0.700 states/eV per atom
- Formation energy without anion corrections: 0.524 eV/atom
- Space-group type: P4/mmm
- Total moment: 0.00 μB per atom

***

Entry 9:
Computed, not measured: an optimized crystal structure of HgAuI3 at the PBEsol level of DFT.

a = 5.534 Å, b = 5.534 Å, c = 5.534 Å
α = 90.00°, β = 90.00°, γ = 90.00°
Fractional coordinates of all 5 atoms:
I  0.000  0.500  0.000
I  0.500  0.000  0.000
Au  0.000  0.000  0.000
Hg  0.500  0.500  0.500
I  0.000  0.000  0.500

Calculated values
- DOS(E_F): 1.213 states/eV per atom
- Formation energy without anion corrections: 0.143 eV/atom
- Space-group type: Pm-3m
- Total moment: 0.00 μB per atom

***

Entry 10:
Computed, not measured: an optimized crystal structure of SiHg2Pb at the PBEsol level of DFT.

a = 3.465 Å, b = 4.316 Å, c = 6.934 Å
α = 108.13°, β = 104.47°, γ = 90.00°
Fractional coordinates of all 4 atoms:
Hg  0.936  0.936  0.872
Hg  0.754  0.254  0.508
Si  0.253  0.753  0.505
Pb  0.557  0.557  0.115

Calculated values
- DOS(E_F): 0.463 states/eV per atom
- Formation energy without anion corrections: 0.233 eV/atom
- E above lowest polymorph: 4.8 meV/atom
- Space-group type: Imm2
- Total moment: 0.00 μB per atom

***

Entry 11:
Computed, not measured: an optimized crystal structure of RbNaTaIr2 at the PBEsol level of DFT.

a = 4.353 Å, b = 4.891 Å, c = 4.891 Å
α = 90.00°, β = 90.00°, γ = 90.00°
Fractional coordinates of all 5 atoms:
Na  0.500  0.000  0.000
Ir  0.000  0.000  0.500
Ta  0.500  0.500  0.500
Ir  0.000  0.500  0.000
Rb  0.000  0.000  0.000

Calculated values
- DOS(E_F): 1.341 states/eV per atom
- Formation energy from the elements: 2.594 eV per atom
- Space-group type: P4/mmm
- Total moment: 0.00 μB per atom

***

Entry 12:
Computed, not measured: an optimized crystal structure of Tl2CrC at the PBEsol level of DFT.

a = 4.692 Å, b = 4.692 Å, c = 4.692 Å
α = 60.00°, β = 60.00°, γ = 60.00°
Last column: magnetic moment on the atom in μB.
Fractional coordinates of all 4 atoms:
C  0.000  0.000  0.000  -0.09
Cr  0.500  0.500  0.500  3.75
Tl  0.250  0.250  0.250  0.01
Tl  0.750  0.750  0.750  0.01

Calculated values
- DOS(E_F): 0.551 states/eV per atom
- Formation energy from the elements: 1.671 eV per atom
- Space-group type: Fm-3m
- Total moment: 1.01 μB per atom